[1]
First-principles (PBE-GGA) data for Er2Tm2Ru after structural relaxation, as listed in the Alexandria database.

Lattice parameters (Å, degrees): 6.8948 6.8948 7.2248 103.32 103.32 116.37
Closest atoms and distances in Å follow each position.
Fractional coordinates of all 10 atoms:
Er 0.1726 0.7278 0.7469  1 Ru 2.65
Er 0.2722 0.8274 0.2531  1 Ru 2.65
Er 0.7278 0.1726 0.7469  1 Ru 2.65
Er 0.8274 0.2722 0.2531  1 Ru 2.65
Tm 0.2430 0.2430 0.6006  2 Ru 2.72
Tm 0.2715 0.2715 0.1049  2 Ru 2.99, 1 Tm 3.23
Tm 0.7285 0.7285 0.8951  2 Ru 2.99, 1 Tm 3.23
Tm 0.7570 0.7570 0.3994  2 Ru 2.72
Ru 0.3735 0.6265 0.5000  2 Er 2.65, 2 Tm 2.72, 1 Ru 2.96
Ru 0.6265 0.3735 0.5000  2 Er 2.65, 2 Tm 2.72, 1 Ru 2.96

As for the space group: C2/m (12). The calculation puts the formation energy at -0.192 eV/atom.


[2]
First-principles (PBE-GGA) data for Y7HoEr2 after structural relaxation, as listed in the Alexandria database.

Lattice parameters (Å, degrees): 15.1238 15.1238 3.5076 90.09 90.09 156.51
Closest atoms and distances in Å follow each position.
Fractional coordinates of all 10 atoms:
Y 0.0000 0.0000 0.0000  6 Y 3.46-3.51, 4 Ho 3.53-3.56
Y 0.1534 0.3542 0.2368  8 Y 3.33-3.64, 1 Ho 3.46, 1 Er 3.56
Y 0.1945 0.8055 0.5000  4 Y 3.33-3.51, 6 Er 3.44-3.57
Y 0.3542 0.1534 0.2368  8 Y 3.33-3.64, 1 Ho 3.46, 1 Er 3.56
Y 0.6458 0.8466 0.7632  8 Y 3.33-3.64, 1 Ho 3.46, 1 Er 3.56
Y 0.8055 0.1945 0.5000  4 Y 3.33-3.51, 6 Er 3.44-3.57
Y 0.8466 0.6458 0.7632  8 Y 3.33-3.64, 1 Ho 3.46, 1 Er 3.56
Ho 0.5000 0.5000 0.5000  8 Y 3.46-3.56, 2 Ho 3.51
Er 0.2945 0.7055 0.0000  8 Y 3.44-3.57, 2 Er 3.51
Er 0.7055 0.2945 0.0000  8 Y 3.44-3.57, 2 Er 3.51

As for the space group: C2/m (12). The calculation puts the formation energy at 0.125 eV/atom.


[3]
First-principles (PBE-GGA) data for Nd8Ga2Bi after structural relaxation, as listed in the Alexandria database.

Lattice parameters (Å, degrees): 9.1474 9.1474 8.1483 109.81 109.81 31.60
Closest atoms and distances in Å follow each position.
Fractional coordinates of all 11 atoms:
Nd 0.0482 0.0482 0.2362  1 Ga 3.14, 2 Nd 3.37
Nd 0.1697 0.1697 0.7556  3 Ga 3.14-3.21, 2 Nd 3.42
Nd 0.3236 0.3236 0.5652  1 Ga 3.10, 1 Bi 3.33, 2 Nd 3.37
Nd 0.3978 0.3978 0.0427  2 Ga 3.28, 5 Nd 3.42-3.64, 1 Bi 3.52
Nd 0.6022 0.6022 0.9573  2 Ga 3.28, 5 Nd 3.42-3.64, 1 Bi 3.52
Nd 0.6764 0.6764 0.4348  1 Ga 3.10, 1 Bi 3.33, 2 Nd 3.37
Nd 0.8303 0.8303 0.2444  3 Ga 3.14-3.21, 2 Nd 3.42
Nd 0.9518 0.9518 0.7638  1 Ga 3.14, 2 Nd 3.37
Ga 0.2141 0.2141 0.1725  7 Nd 3.10-3.28
Ga 0.7859 0.7859 0.8275  7 Nd 3.10-3.28
Bi 0.5000 0.5000 0.5000  8 Nd 3.33-3.58

As for the space group: C2/m (12). The calculation puts the formation energy at -0.333 eV/atom.


[4]
First-principles (PBE-GGA) data for Ba2Tl6CdIn after structural relaxation, as listed in the Alexandria database.

Lattice parameters (Å, degrees): 14.0889 14.0889 14.0889 32.27 32.27 32.27
Closest atoms and distances in Å follow each position.
Fractional coordinates of all 20 atoms:
Ba 0.1090 0.1090 0.1090  12 Tl 3.99-4.08, 1 Cd 4.36
Ba 0.2833 0.2833 0.2833  12 Tl 3.82-3.99
Ba 0.7167 0.7167 0.7167  12 Tl 3.82-3.99
Ba 0.8910 0.8910 0.8910  12 Tl 3.99-4.08, 1 Cd 4.36
Tl 0.0729 0.6639 0.6639  1 Cd 2.98, 1 In 3.13, 2 Tl 3.20
Tl 0.2249 0.2249 0.6505  1 Cd 2.92, 1 In 3.07
Tl 0.2249 0.6505 0.2249  1 Cd 2.92, 1 In 3.07
Tl 0.3361 0.3361 0.9271  1 Cd 2.98, 1 In 3.13, 2 Tl 3.20
Tl 0.3361 0.9271 0.3361  1 Cd 2.98, 1 In 3.13, 2 Tl 3.20
Tl 0.3495 0.7751 0.7751  1 Cd 2.92, 1 In 3.07
Tl 0.6505 0.2249 0.2249  1 Cd 2.92, 1 In 3.07
Tl 0.6639 0.0729 0.6639  1 Cd 2.98, 1 In 3.13, 2 Tl 3.20
Tl 0.6639 0.6639 0.0729  1 Cd 2.98, 1 In 3.13, 2 Tl 3.20
Tl 0.7751 0.3495 0.7751  1 Cd 2.92, 1 In 3.07
Tl 0.7751 0.7751 0.3495  1 Cd 2.92, 1 In 3.07
Tl 0.9271 0.3361 0.3361  1 Cd 2.98, 1 In 3.13, 2 Tl 3.20
Cd 0.0000 0.0000 0.0000  6 Tl 2.92
Cd 0.5000 0.5000 0.5000  2 In 2.95, 6 Tl 2.98
In 0.4264 0.4264 0.4264  1 Cd 2.95, 6 Tl 3.07-3.13
In 0.5736 0.5736 0.5736  1 Cd 2.95, 6 Tl 3.07-3.13

As for the space group: R-3m (166). The calculation puts the formation energy at -0.127 eV/atom.


[5]
First-principles (PBE-GGA) data for Dy5Ho6In after structural relaxation, as listed in the Alexandria database.

Lattice parameters (Å, degrees): 9.2831 9.2831 9.2831 149.27 115.58 73.06
Closest atoms and distances in Å follow each position.
Fractional coordinates of all 12 atoms:
Dy 0.0000 0.0000 0.0000  4 Dy 3.46, 8 Ho 3.53
Dy 0.1633 0.6633 0.5000  4 Dy 3.46-3.53, 8 Ho 3.51-3.52
Dy 0.3330 0.3330 0.0000  8 Ho 3.46-3.53, 2 In 3.50, 2 Dy 3.53
Dy 0.6670 0.6670 0.0000  8 Ho 3.46-3.53, 2 In 3.50, 2 Dy 3.53
Dy 0.8367 0.3367 0.5000  4 Dy 3.46-3.53, 8 Ho 3.51-3.52
Ho 0.0873 0.8337 0.2536  7 Dy 3.46-3.53, 1 In 3.48, 4 Ho 3.49-3.51
Ho 0.2557 0.5000 0.7557  2 In 3.45, 6 Dy 3.47-3.53, 4 Ho 3.49
Ho 0.4199 0.1663 0.2536  7 Dy 3.46-3.53, 1 In 3.48, 4 Ho 3.49-3.51
Ho 0.5801 0.8337 0.7464  7 Dy 3.46-3.53, 1 In 3.48, 4 Ho 3.49-3.51
Ho 0.7443 0.5000 0.2443  2 In 3.45, 6 Dy 3.47-3.53, 4 Ho 3.49
Ho 0.9127 0.1663 0.7464  7 Dy 3.46-3.53, 1 In 3.48, 4 Ho 3.49-3.51
In 0.5000 0.0000 0.5000  8 Ho 3.45-3.48, 4 Dy 3.50

As for the space group: Immm (71). The calculation puts the formation energy at -0.054 eV/atom.


[6]
First-principles (PBE-GGA) data for YIn2Ru after structural relaxation, as listed in the Alexandria database.

Lattice parameters (Å, degrees): 9.3960 9.3960 9.3960 21.12 21.12 21.12
Closest atoms and distances in Å follow each position.
Fractional coordinates of all 4 atoms:
Y 0.0000 0.0000 0.0000  3 Ru 2.77
In 0.5259 0.5259 0.5259  3 Ru 2.79
In 0.7674 0.7674 0.7674  9 In 3.22-3.44, 3 Y 3.41
Ru 0.2635 0.2635 0.2635  3 Y 2.77, 3 In 2.79

As for the space group: R3m (160). The calculation puts the formation energy at 0.039 eV/atom.